Entry 1:
Density functional theory data (GGA-PBE) for crystalline Mn2TeP at its relaxed geometry.

Cell: 7.403 3.299 5.516 Å, 90.00 100.72 90.00°
Fractional positions:
Mn1 0.000 0.000 0.000
Mn2 0.245 0.000 0.672
Mn3 0.500 0.500 0.000
Mn4 0.745 0.500 0.672
Te1 0.246 0.500 0.287
Te2 0.746 0.000 0.287
P1 0.049 0.500 0.734
P2 0.549 0.000 0.734

Calculated values
Calculated density   6.7 g/cm3
Uncorrected formation energy   -5 kJ per mole of atoms
Energy above the lowest structure with this stoichiometry   0.106 eV per atom
E   -6.78 eV/atom

Entry 2:
Density functional theory data (GGA-PBE) for crystalline Mn2TeP at its relaxed geometry.

Cell: 3.758 3.758 17.691 Å, 90.00 90.00 120.00°
Fractional positions:
Mn1 0.000 0.000 0.000
Mn2 0.000 0.000 0.215
Mn3 0.333 0.667 0.667
Mn4 0.333 0.667 0.882
Mn5 0.667 0.333 0.333
Mn6 0.667 0.333 0.548
Te1 0.000 0.000 0.436
Te2 0.333 0.667 0.103
Te3 0.667 0.333 0.769
P1 0.000 0.000 0.609
P2 0.333 0.667 0.276
P3 0.667 0.333 0.942

Calculated values
Calculated density   6.2 g/cm3
Uncorrected formation energy   -7 kJ per mole of atoms
Energy above the lowest structure with this stoichiometry   0.087 eV per atom
E   -6.80 eV/atom

Entry 3:
Density functional theory data (GGA-PBE) for crystalline Mn2TeP at its relaxed geometry.

Cell: 3.868 3.868 9.027 Å, 90.00 90.00 90.00°
Fractional positions:
Mn1 0.000 0.000 0.000
Mn2 0.000 0.500 0.250
Mn3 0.500 0.000 0.750
Mn4 0.500 0.500 0.500
Te1 0.000 0.000 0.500
Te2 0.500 0.500 0.000
P1 0.000 0.500 0.750
P2 0.500 0.000 0.250

Calculated values
Calculated density   6.6 g/cm3
Uncorrected formation energy   34 kJ per mole of atoms
Energy above the lowest structure with this stoichiometry   0.513 eV per atom
E   -6.37 eV/atom

Entry 4:
Density functional theory data (GGA-PBE) for crystalline Mn2TeP at its relaxed geometry.

Cell: 3.659 3.659 17.420 Å, 90.00 90.00 120.00°
Fractional positions:
Mn1 0.000 0.000 0.221
Mn2 0.000 0.000 0.779
Mn3 0.333 0.667 0.445
Mn4 0.333 0.667 0.888
Mn5 0.667 0.333 0.112
Mn6 0.667 0.333 0.555
Te1 0.000 0.000 0.000
Te2 0.333 0.667 0.667
Te3 0.667 0.333 0.333
P1 0.000 0.000 0.500
P2 0.333 0.667 0.167
P3 0.667 0.333 0.833

Calculated values
Calculated density   6.6 g/cm3
Uncorrected formation energy   -16 kJ per mole of atoms
Energy above the lowest structure with this stoichiometry   0.000 eV per atom
E   -6.89 eV/atom

Entry 5:
Density functional theory data (GGA-PBE) for crystalline Mn3TeP at its relaxed geometry.

Cell: 4.384 4.384 4.384 Å, 90.00 90.00 90.00°
Fractional positions:
Mn1 0.000 0.000 0.500
Mn2 0.000 0.500 0.000
Mn3 0.500 0.000 0.000
Te1 0.500 0.500 0.500
P1 0.000 0.000 0.000

Calculated values
Calculated density   6.4 g/cm3
Uncorrected formation energy   24 kJ per mole of atoms
Energy above the lowest structure with this stoichiometry   0.000 eV per atom
E   -6.97 eV/atom

Entry 6:
Density functional theory data (GGA-PBE) for crystalline MnTeP at its relaxed geometry.

Cell: 3.519 3.519 5.535 Å, 90.00 90.00 120.00°
Fractional positions:
Mn1 0.000 0.000 0.000
Te1 0.667 0.333 0.684
P1 0.333 0.667 0.201

Calculated values
Calculated density   6.0 g/cm3
Uncorrected formation energy   -6 kJ per mole of atoms
Energy above the lowest structure with this stoichiometry   0.101 eV per atom
E   -5.97 eV/atom

> energy above the lowest structure with this stoichiometry of number 5 (Mn3TeP)?

0.000 eV per atom

> Which formula does entry 2 have?

Mn2TeP

> Which of these has the lowest calculated density?

MnTeP

> Look up the calculated density of the second one.

6.2 g/cm3